# 1
Here is AcPr6Er2 after structural relaxation from the Alexandria database. Energies are from PBE-GGA.

- Mass density: 7.145 g/cm³
- Total DFT energy (no corrections): -4.59 eV per atom
- Symmetry: P-6m2

Cell lengths 3.6991, 3.6991, 27.5923 Å; angles 90.00, 90.00, 120.00 degrees
With the nearest neighbours (Å) after each atom.
Sites, in units of the cell vectors:
Ac  0.0000  0.0000  0.0000  6 Ac 3.70, 6 Pr 3.86
Pr  0.0000  0.0000  0.2266  3 Er 3.61, 9 Pr 3.70-3.72
Pr  0.0000  0.0000  0.4337  3 Er 3.53, 7 Pr 3.66-3.70
Pr  0.0000  0.0000  0.5663  3 Er 3.53, 7 Pr 3.66-3.70
Pr  0.0000  0.0000  0.7734  3 Er 3.61, 9 Pr 3.70-3.72
Pr  0.3333  0.6667  0.1163  9 Pr 3.70-3.72, 3 Ac 3.86
Pr  0.3333  0.6667  0.8837  9 Pr 3.70-3.72, 3 Ac 3.86
Er  0.3333  0.6667  0.3321  6 Pr 3.53-3.61, 6 Er 3.70
Er  0.3333  0.6667  0.6679  6 Pr 3.53-3.61, 6 Er 3.70



# 2
Here is AcPr5Er2 after structural relaxation from the Alexandria database. Energies are from PBE-GGA.

- Mass density: 7.388 g/cm³
- Total DFT energy (no corrections): -4.62 eV per atom
- Symmetry: Pbam

Cell lengths 7.3902, 14.7828, 5.2096 Å; angles 90.00, 90.00, 90.00 degrees
With the nearest neighbours (Å) after each atom.
Sites, in units of the cell vectors:
Ac  0.0000  0.0000  0.0000  8 Pr 3.70-3.73, 4 Er 3.71
Ac  0.5000  0.5000  0.0000  8 Pr 3.70-3.73, 4 Er 3.71
Pr  0.0000  0.5000  0.0000  6 Pr 3.67-3.69, 2 Ac 3.70, 4 Er 3.70
Pr  0.0018  0.2520  0.0000  4 Er 3.65-3.70, 7 Pr 3.65-3.70, 1 Ac 3.73
Pr  0.2464  0.6268  0.5000  4 Er 3.64-3.75, 6 Pr 3.65-3.70, 2 Ac 3.72
Pr  0.2536  0.1268  0.5000  4 Er 3.64-3.75, 6 Pr 3.65-3.70, 2 Ac 3.72
Pr  0.4982  0.7520  0.0000  4 Er 3.65-3.70, 7 Pr 3.65-3.70, 1 Ac 3.73
Pr  0.5000  0.0000  0.0000  6 Pr 3.67-3.69, 2 Ac 3.70, 4 Er 3.70
Pr  0.5018  0.2480  0.0000  4 Er 3.65-3.70, 7 Pr 3.65-3.70, 1 Ac 3.73
Pr  0.7464  0.8732  0.5000  4 Er 3.64-3.75, 6 Pr 3.65-3.70, 2 Ac 3.72
Pr  0.7536  0.3732  0.5000  4 Er 3.64-3.75, 6 Pr 3.65-3.70, 2 Ac 3.72
Pr  0.9982  0.7480  0.0000  4 Er 3.65-3.70, 7 Pr 3.65-3.70, 1 Ac 3.73
Er  0.2494  0.3731  0.5000  10 Pr 3.64-3.75, 2 Ac 3.71
Er  0.2506  0.8731  0.5000  10 Pr 3.64-3.75, 2 Ac 3.71
Er  0.7494  0.1269  0.5000  10 Pr 3.64-3.75, 2 Ac 3.71
Er  0.7506  0.6269  0.5000  10 Pr 3.64-3.75, 2 Ac 3.71



# 3
Here is Ac6Pr8Er after structural relaxation from the Alexandria database. Energies are from PBE-GGA.

- Mass density: 7.443 g/cm³
- Total DFT energy (no corrections): -4.39 eV per atom
- Symmetry: R-3

Cell lengths 9.2414, 9.2414, 9.2414 Å; angles 62.79, 62.79, 62.79 degrees
With the nearest neighbours (Å) after each atom.
Sites, in units of the cell vectors:
Ac  0.0436  0.7400  0.5901  4 Pr 3.59-3.89, 1 Er 3.65, 4 Ac 3.85-3.99
Ac  0.2600  0.4099  0.9564  4 Pr 3.59-3.89, 1 Er 3.65, 4 Ac 3.85-3.99
Ac  0.4099  0.9564  0.2600  4 Pr 3.59-3.89, 1 Er 3.65, 4 Ac 3.85-3.99
Ac  0.5901  0.0436  0.7400  4 Pr 3.59-3.89, 1 Er 3.65, 4 Ac 3.85-3.99
Ac  0.7400  0.5901  0.0436  4 Pr 3.59-3.89, 1 Er 3.65, 4 Ac 3.85-3.99
Ac  0.9564  0.2600  0.4099  4 Pr 3.59-3.89, 1 Er 3.65, 4 Ac 3.85-3.99
Pr  0.0752  0.0752  0.0752  4 Pr 3.33-3.63, 3 Ac 3.70
Pr  0.2069  0.2627  0.6116  3 Ac 3.59-3.89, 5 Pr 3.63-3.68, 1 Er 3.74
Pr  0.2627  0.6116  0.2069  3 Ac 3.59-3.89, 5 Pr 3.63-3.68, 1 Er 3.74
Pr  0.3884  0.7931  0.7373  3 Ac 3.59-3.89, 5 Pr 3.63-3.68, 1 Er 3.74
Pr  0.6116  0.2069  0.2627  3 Ac 3.59-3.89, 5 Pr 3.63-3.68, 1 Er 3.74
Pr  0.7373  0.3884  0.7931  3 Ac 3.59-3.89, 5 Pr 3.63-3.68, 1 Er 3.74
Pr  0.7931  0.7373  0.3884  3 Ac 3.59-3.89, 5 Pr 3.63-3.68, 1 Er 3.74
Pr  0.9248  0.9248  0.9248  4 Pr 3.33-3.63, 3 Ac 3.70
Er  0.5000  0.5000  0.5000  6 Ac 3.65, 6 Pr 3.74